(1)
VASP calculation (PBE) on MnIr6Ru5 after structural relaxation.

Output
- SG = Cmmm (65)
- density of states at the Fermi level (states/eV/atom) = 0.906
- E_tot (eV/atom) = -9.114
- theoretical density (g cm⁻³) = 16.80
- energy relative to the elements (eV/f.u.) = -0.65

Cell lengths 3.8339, 7.6783, 6.0636 Å; angles 90.00, 71.57, 90.00 degrees
Element x y z (fractional)
Ru 0.6676 0.5000 0.6654
Ru 0.3315 0.0000 0.3371
Ru 0.0000 0.5000 0.0000
Ru 0.6685 0.0000 0.6629
Ru 0.3324 0.5000 0.3346
Mn 0.0000 0.0000 0.0000
Ir 0.8341 0.7508 0.3320
Ir 0.8341 0.2492 0.3320
Ir 0.5000 0.2498 0.0000
Ir 0.5000 0.7502 0.0000
Ir 0.1659 0.7508 0.6680
Ir 0.1659 0.2492 0.6680

***

(2)
VASP calculation (PBE) on MnIr2Ru after structural relaxation.

Output
- SG = C2/m (12)
- density of states at the Fermi level (states/eV/atom) = 0.900
- E_tot (eV/atom) = -9.112
- theoretical density (g cm⁻³) = 16.04
- energy relative to the elements (eV/f.u.) = -0.28

Cell lengths 4.6892, 4.6892, 4.6523 Å; angles 80.10, 80.10, 33.78 degrees
Element x y z (fractional)
Ir 0.0007 0.0007 0.0000
Ir 0.4993 0.4993 0.5000
Mn 0.7500 0.7500 0.7500
Ru 0.2500 0.2500 0.2500

***

(3)
VASP calculation (PBE) on MnIr2Ru after structural relaxation.

Output
- SG = Fm-3m (225)
- density of states at the Fermi level (states/eV/atom) = 3.203
- E_tot (eV/atom) = -8.522
- theoretical density (g cm⁻³) = 16.04
- energy relative to the elements (eV/f.u.) = 2.08

Cell lengths 4.2932, 4.2932, 4.2932 Å; angles 60.00, 60.00, 60.00 degrees
Element x y z (fractional)
Ru 0.5000 0.5000 0.5000
Ir 0.2500 0.2500 0.2500
Ir 0.7500 0.7500 0.7500
Mn 0.0000 0.0000 0.0000

***

(4)
VASP calculation (PBE) on MnIr2Ru after structural relaxation.

Output
- SG = Pmm2 (25)
- density of states at the Fermi level (states/eV/atom) = 0.880
- E_tot (eV/atom) = -9.151
- theoretical density (g cm⁻³) = 16.41
- energy relative to the elements (eV/f.u.) = -0.43

Cell lengths 4.2856, 2.7205, 4.6913 Å; angles 90.00, 90.00, 90.00 degrees
Element x y z (fractional)
Ru 0.5000 0.6250 0.7862
Ir 0.0000 0.1250 0.9530
Ir 0.5000 0.1250 0.2966
Mn 0.0000 0.6250 0.4642

***

(5)
VASP calculation (PBE) on MnIr2Ru after structural relaxation.

Output
- SG = I4/mmm (139)
- density of states at the Fermi level (states/eV/atom) = 1.020
- E_tot (eV/atom) = -9.154
- theoretical density (g cm⁻³) = 16.25
- energy relative to the elements (eV/f.u.) = -0.45

Cell lengths 4.6689, 4.6689, 4.6689 Å; angles 131.92, 131.92, 70.36 degrees
Element x y z (fractional)
Ru 0.7500 0.2500 0.5000
Ir 0.0000 0.0000 0.0000
Ir 0.5000 0.5000 0.0000
Mn 0.2500 0.7500 0.5000

***

(6)
VASP calculation (PBE) on MnIr4Ru3 after structural relaxation.

Output
- SG = C2/m (12)
- density of states at the Fermi level (states/eV/atom) = 1.025
- E_tot (eV/atom) = -8.814
- theoretical density (g cm⁻³) = 15.71
- energy relative to the elements (eV/f.u.) = 1.93

Cell lengths 2.7334, 3.9755, 11.1151 Å; angles 96.24, 97.06, 90.00 degrees
Element x y z (fractional)
Ru 0.0000 0.5000 0.0000
Ru 0.1567 0.1951 0.3134
Ru 0.8433 0.8049 0.6866
Mn 0.5000 0.0000 0.0000
Ir 0.4000 0.3403 0.7999
Ir 0.6000 0.6597 0.2001
Ir 0.7203 0.7309 0.4405
Ir 0.2797 0.2691 0.5595

***

(7)
VASP calculation (PBE) on MnIr2Ru after structural relaxation.

Output
- SG = R-3m (166)
- density of states at the Fermi level (states/eV/atom) = 1.478
- E_tot (eV/atom) = -9.031
- theoretical density (g cm⁻³) = 16.08
- energy relative to the elements (eV/f.u.) = 0.05

Cell lengths 8.7879, 8.7879, 8.7879 Å; angles 17.87, 17.87, 17.87 degrees
Element x y z (fractional)
Ir 0.9981 0.9981 0.9981
Ir 0.5019 0.5019 0.5019
Mn 0.2500 0.2500 0.2500
Ru 0.7500 0.7500 0.7500

***

(8)
VASP calculation (PBE) on Mn4IrRu2 after structural relaxation.

Output
- SG = P1 (1)
- density of states at the Fermi level (states/eV/atom) = 1.048
- E_tot (eV/atom) = -9.149
- theoretical density (g cm⁻³) = 11.12
- energy relative to the elements (eV/f.u.) = 0.05

Cell lengths 8.9074, 6.4801, 6.4895 Å; angles 91.16, 55.96, 132.82 degrees
Element x y z (fractional)
Mn 0.6600 0.7288 0.5356
Mn 0.8455 0.5580 0.2745
Mn 0.0721 0.2712 0.4866
Mn 0.2841 0.2013 0.0573
Mn 0.2838 0.8460 0.2637
Mn 0.8642 0.3497 0.8997
Mn 0.5749 0.7677 0.9794
Mn 0.2681 0.9456 0.7232
Ir 0.4775 0.3688 0.2886
Ir 0.0138 0.0664 0.9080
Ru 0.1348 0.4748 0.0683
Ru 0.6687 0.1542 0.6687
Ru 0.8746 0.7115 0.6746
Ru 0.4778 0.8060 0.4219

***

(9)
VASP calculation (PBE) on MnIr5Ru2 after structural relaxation.

Output
- SG = I4/mmm (139)
- density of states at the Fermi level (states/eV/atom) = 0.888
- E_tot (eV/atom) = -9.099
- theoretical density (g cm⁻³) = 17.88
- energy relative to the elements (eV/f.u.) = -0.77

Cell lengths 3.8354, 3.8354, 8.1559 Å; angles 103.61, 103.60, 90.00 degrees
Element x y z (fractional)
Mn 0.0000 0.0000 0.0000
Ir 0.5000 0.5000 0.0000
Ir 0.3742 0.8740 0.7485
Ir 0.8742 0.3740 0.7485
Ir 0.6258 0.1260 0.2515
Ir 0.1258 0.6260 0.2515
Ru 0.7510 0.7512 0.5019
Ru 0.2490 0.2488 0.4981

***

(10)
VASP calculation (PBE) on MnIr2Ru after structural relaxation.

Output
- SG = P4mm (99)
- density of states at the Fermi level (states/eV/atom) = 1.020
- E_tot (eV/atom) = -9.054
- theoretical density (g cm⁻³) = 16.45
- energy relative to the elements (eV/f.u.) = -0.05

Cell lengths 2.6943, 2.6943, 7.5138 Å; angles 90.00, 90.00, 90.00 degrees
Element x y z (fractional)
Ir 0.0000 0.0000 0.9952
Ir 0.5000 0.5000 0.2638
Mn 0.0000 0.0000 0.4994
Ru 0.5000 0.5000 0.7416

***

(11)
VASP calculation (PBE) on Mn3Ir12Ru after structural relaxation.

Output
- SG = P4/mmm (123)
- density of states at the Fermi level (states/eV/atom) = 0.976
- E_tot (eV/atom) = -9.076
- theoretical density (g cm⁻³) = 18.93
- energy relative to the elements (eV/f.u.) = -2.11

Cell lengths 3.8327, 3.8327, 15.3642 Å; angles 90.00, 90.00, 90.00 degrees
Element x y z (fractional)
Mn 0.0000 0.0000 0.2534
Mn 0.0000 0.0000 0.5000
Mn 0.0000 0.0000 0.7466
Ir 0.5000 0.5000 0.0000
Ir 0.5000 0.5000 0.2504
Ir 0.5000 0.5000 0.5000
Ir 0.5000 0.5000 0.7496
Ir 0.5000 0.0000 0.1255
Ir 0.5000 0.0000 0.3760
Ir 0.5000 0.0000 0.6240
Ir 0.5000 0.0000 0.8745
Ir 0.0000 0.5000 0.1255
Ir 0.0000 0.5000 0.3760
Ir 0.0000 0.5000 0.6240
Ir 0.0000 0.5000 0.8745
Ru 0.0000 0.0000 0.0000

***

(12)
VASP calculation (PBE) on MnIr2Ru after structural relaxation.

Output
- SG = F-43m (216)
- density of states at the Fermi level (states/eV/atom) = 1.745
- E_tot (eV/atom) = -8.735
- theoretical density (g cm⁻³) = 15.47
- energy relative to the elements (eV/f.u.) = 1.23

Cell lengths 4.3455, 4.3455, 4.3455 Å; angles 60.00, 60.00, 60.00 degrees
Element x y z (fractional)
Ir 0.0000 0.0000 0.0000
Ir 0.7500 0.7500 0.7500
Mn 0.5000 0.5000 0.5000
Ru 0.2500 0.2500 0.2500

***

(13)
VASP calculation (PBE) on Mn2Ir2Ru after structural relaxation.

Output
- SG = P4/mbm (127)
- density of states at the Fermi level (states/eV/atom) = 1.131
- E_tot (eV/atom) = -8.913
- theoretical density (g cm⁻³) = 14.60
- energy relative to the elements (eV/f.u.) = 0.77

Cell lengths 7.1390, 7.1390, 2.6579 Å; angles 90.00, 90.00, 90.00 degrees
Element x y z (fractional)
Ru 0.0000 0.0000 0.0000
Ru 0.5000 0.5000 0.0000
Ir 0.3704 0.8704 0.0000
Ir 0.8704 0.6296 0.0000
Ir 0.6296 0.1296 0.0000
Ir 0.1296 0.3704 0.0000
Mn 0.1683 0.6683 0.5000
Mn 0.6683 0.8317 0.5000
Mn 0.8317 0.3317 0.5000
Mn 0.3317 0.1683 0.5000

***

(14)
VASP calculation (PBE) on MnIr2Ru after structural relaxation.

Output
- SG = Immm (71)
- density of states at the Fermi level (states/eV/atom) = 1.276
- E_tot (eV/atom) = -8.885
- theoretical density (g cm⁻³) = 15.74
- energy relative to the elements (eV/f.u.) = 0.63

Cell lengths 5.2559, 5.2559, 5.2559 Å; angles 148.77, 130.18, 59.98 degrees
Element x y z (fractional)
Ir 0.9769 0.9769 0.0000
Ir 0.5231 0.5231 0.0000
Mn 0.7500 0.2500 0.5000
Ru 0.2500 0.7500 0.5000

***

(15)
VASP calculation (PBE) on Mn2Ir2Ru after structural relaxation.

Output
- SG = P4/mbm (127)
- density of states at the Fermi level (states/eV/atom) = 1.136
- E_tot (eV/atom) = -8.965
- theoretical density (g cm⁻³) = 14.86
- energy relative to the elements (eV/f.u.) = 0.51

Cell lengths 7.0348, 7.0348, 2.6883 Å; angles 90.00, 90.00, 90.00 degrees
Element x y z (fractional)
Ru 0.0000 0.0000 0.0000
Ru 0.5000 0.5000 0.0000
Ir 0.1758 0.6758 0.5000
Ir 0.6758 0.8242 0.5000
Ir 0.8242 0.3242 0.5000
Ir 0.3242 0.1758 0.5000
Mn 0.3820 0.8820 0.0000
Mn 0.8820 0.6180 0.0000
Mn 0.6180 0.1180 0.0000
Mn 0.1180 0.3820 0.0000

***

(16)
VASP calculation (PBE) on MnIr12Ru3 after structural relaxation.

Output
- SG = P4/mmm (123)
- density of states at the Fermi level (states/eV/atom) = 0.916
- E_tot (eV/atom) = -9.024
- theoretical density (g cm⁻³) = 19.35
- energy relative to the elements (eV/f.u.) = -1.06

Cell lengths 3.8507, 3.8507, 15.4194 Å; angles 90.00, 90.00, 90.00 degrees
Element x y z (fractional)
Mn 0.0000 0.0000 0.0000
Ir 0.5000 0.5000 0.0000
Ir 0.5000 0.5000 0.2499
Ir 0.5000 0.5000 0.5000
Ir 0.5000 0.5000 0.7501
Ir 0.5000 0.0000 0.1247
Ir 0.5000 0.0000 0.3747
Ir 0.5000 0.0000 0.6253
Ir 0.5000 0.0000 0.8753
Ir 0.0000 0.5000 0.1247
Ir 0.0000 0.5000 0.3747
Ir 0.0000 0.5000 0.6253
Ir 0.0000 0.5000 0.8753
Ru 0.0000 0.0000 0.2483
Ru 0.0000 0.0000 0.5000
Ru 0.0000 0.0000 0.7517

***

(17)
VASP calculation (PBE) on MnIr3Ru after structural relaxation.

Output
- SG = Pm-3m (221)
- density of states at the Fermi level (states/eV/atom) = 1.640
- E_tot (eV/atom) = -7.428
- theoretical density (g cm⁻³) = 14.18
- energy relative to the elements (eV/f.u.) = 7.89

Cell lengths 4.4105, 4.4105, 4.4105 Å; angles 90.00, 90.00, 90.00 degrees
Element x y z (fractional)
Ru 0.5000 0.5000 0.5000
Ir 0.0000 0.5000 0.0000
Ir 0.0000 0.0000 0.5000
Ir 0.5000 0.0000 0.0000
Mn 0.0000 0.0000 0.0000

***

(18)
VASP calculation (PBE) on MnIr2Ru after structural relaxation.

Output
- SG = Imm2 (44)
- density of states at the Fermi level (states/eV/atom) = 1.183
- E_tot (eV/atom) = -8.890
- theoretical density (g cm⁻³) = 15.82
- energy relative to the elements (eV/f.u.) = 0.61

Cell lengths 5.2880, 5.2880, 5.2880 Å; angles 149.13, 131.11, 58.95 degrees
Element x y z (fractional)
Ir 0.9993 0.9993 0.0000
Ir 0.7225 0.2225 0.5000
Mn 0.4990 0.4990 0.0000
Ru 0.2792 0.7792 0.5000

***

(19)
VASP calculation (PBE) on MnIr3Ru after structural relaxation.

Output
- SG = Pm-3m (221)
- density of states at the Fermi level (states/eV/atom) = 2.326
- E_tot (eV/atom) = -6.754
- theoretical density (g cm⁻³) = 12.05
- energy relative to the elements (eV/f.u.) = 11.26

Cell lengths 4.6561, 4.6561, 4.6561 Å; angles 90.00, 90.00, 90.00 degrees
Element x y z (fractional)
Ru 0.0000 0.0000 0.0000
Ir 0.0000 0.5000 0.0000
Ir 0.0000 0.0000 0.5000
Ir 0.5000 0.0000 0.0000
Mn 0.5000 0.5000 0.5000

***

(20)
VASP calculation (PBE) on MnIr2Ru after structural relaxation.

Output
- SG = Cmmm (65)
- density of states at the Fermi level (states/eV/atom) = 0.906
- E_tot (eV/atom) = -9.140
- theoretical density (g cm⁻³) = 16.17
- energy relative to the elements (eV/f.u.) = -0.39

Cell lengths 4.6432, 4.6432, 2.7235 Å; angles 90.00, 90.00, 109.07 degrees
Element x y z (fractional)
Ir 0.0000 0.0000 0.0000
Ir 0.5000 0.5000 0.0000
Mn 0.5000 0.0000 0.5000
Ru 0.0000 0.5000 0.5000

***

(21)
VASP calculation (PBE) on MnIr4Ru2 after structural relaxation.

Output
- SG = Cmcm (63)
- density of states at the Fermi level (states/eV/atom) = 1.137
- E_tot (eV/atom) = -8.764
- theoretical density (g cm⁻³) = 15.89
- energy relative to the elements (eV/f.u.) = 1.82

Cell lengths 2.7086, 8.5281, 9.3994 Å; angles 90.00, 90.00, 99.14 degrees
Element x y z (fractional)
Mn 0.3759 0.7518 0.2500
Mn 0.6241 0.2482 0.7500
Ir 0.2353 0.4707 0.6142
Ir 0.7647 0.5293 0.3858
Ir 0.7647 0.5293 0.1142
Ir 0.2353 0.4707 0.8858
Ir 0.9991 0.9983 0.7500
Ir 0.0009 0.0017 0.2500
Ir 0.5000 0.0000 0.0000
Ir 0.5000 0.0000 0.5000
Ru 0.8699 0.7398 0.8896
Ru 0.1301 0.2602 0.1104
Ru 0.8699 0.7398 0.6104
Ru 0.1301 0.2602 0.3896

***

(22)
VASP calculation (PBE) on MnIrRu3 after structural relaxation.

Output
- SG = Pm-3m (221)
- density of states at the Fermi level (states/eV/atom) = 2.054
- E_tot (eV/atom) = -7.726
- theoretical density (g cm⁻³) = 11.25
- energy relative to the elements (eV/f.u.) = 7.23

Cell lengths 4.3305, 4.3305, 4.3305 Å; angles 90.00, 90.00, 90.00 degrees
Element x y z (fractional)
Ru 0.0000 0.5000 0.0000
Ru 0.0000 0.0000 0.5000
Ru 0.5000 0.0000 0.0000
Ir 0.5000 0.5000 0.5000
Mn 0.0000 0.0000 0.0000

***

(23)
VASP calculation (PBE) on MnIr2Ru after structural relaxation.

Output
- SG = Cmm2 (35)
- density of states at the Fermi level (states/eV/atom) = 1.453
- E_tot (eV/atom) = -8.764
- theoretical density (g cm⁻³) = 15.60
- energy relative to the elements (eV/f.u.) = 1.11

Cell lengths 2.7008, 2.7008, 8.9879 Å; angles 90.00, 90.00, 118.67 degrees
Element x y z (fractional)
Ir 0.0000 0.0000 0.9966
Ir 0.5000 0.5000 0.2617
Mn 0.0000 0.0000 0.5019
Ru 0.5000 0.5000 0.7398

***

(24)
VASP calculation (PBE) on MnIr3Ru after structural relaxation.

Output
- SG = Pmma (51)
- density of states at the Fermi level (states/eV/atom) = 1.113
- E_tot (eV/atom) = -8.632
- theoretical density (g cm⁻³) = 15.35
- energy relative to the elements (eV/f.u.) = 1.87

Cell lengths 2.7072, 8.7591, 6.6856 Å; angles 90.00, 90.00, 90.00 degrees
Element x y z (fractional)
Mn 0.5000 0.2500 0.2693
Mn 0.5000 0.7500 0.7307
Ir 0.5000 0.5996 0.3716
Ir 0.5000 0.0000 0.0000
Ir 0.5000 0.9004 0.3716
Ir 0.5000 0.4004 0.6284
Ir 0.5000 0.5000 0.0000
Ir 0.5000 0.0996 0.6284
Ru 0.0000 0.2500 0.9122
Ru 0.0000 0.7500 0.0878

***

(25)
VASP calculation (PBE) on MnIr2Ru after structural relaxation.

Output
- SG = I-42d (122)
- density of states at the Fermi level (states/eV/atom) = 0.932
- E_tot (eV/atom) = -8.081
- theoretical density (g cm⁻³) = 11.41
- energy relative to the elements (eV/f.u.) = 3.84

Cell lengths 5.3706, 5.3706, 6.6474 Å; angles 66.17, 66.17, 90.00 degrees
Element x y z (fractional)
Ru 0.0000 0.0000 0.0000
Ru 0.7500 0.2500 0.5000
Ir 0.6057 0.1250 0.2500
Ir 0.1443 0.6250 0.2500
Ir 0.3750 0.3943 0.7500
Ir 0.8750 0.8557 0.7500
Mn 0.5000 0.5000 0.0000
Mn 0.2500 0.7500 0.5000